The following is a DFT calculation (PBE) of a relaxed HoLuHg2 crystal.

```
data_HoLuHg2
_chemical_formula_sum 'Ho4 Lu4 Hg8'
_cell_length_a 5.118
_cell_length_b 6.706
_cell_length_c 11.613
_cell_angle_alpha 90.00
_cell_angle_beta 90.00
_cell_angle_gamma 90.00
_space_group_name_H-M_alt 'A m m 2'
_space_group_IT_number 38
_space_group_name_Hall 'A 2 -2'
loop_
_atom_site_label
_atom_site_type_symbol
_atom_site_fract_x
_atom_site_fract_y
_atom_site_fract_z
Ho1 Ho 0.000 0.000 0.000
Ho2 Ho 0.500 0.000 0.358
Lu1 Lu 0.500 0.238 0.615
Hg1 Hg 0.000 0.000 0.522
Hg2 Hg 0.000 0.248 0.261
Hg3 Hg 0.500 0.000 0.861
```

calculated formation energy	-0.277	eV per atom

The following is a DFT calculation (PBE) of a relaxed Li2ZnAu crystal.

```
data_Li2ZnAu
_chemical_formula_sum 'Li12 Zn6 Au6'
_cell_length_a 4.320
_cell_length_b 12.951
_cell_length_c 6.127
_cell_angle_alpha 90.00
_cell_angle_beta 90.00
_cell_angle_gamma 90.00
_space_group_name_H-M_alt 'P n n m'
_space_group_IT_number 58
_space_group_name_Hall '-P 2 2n'
loop_
_atom_site_label
_atom_site_type_symbol
_atom_site_fract_x
_atom_site_fract_y
_atom_site_fract_z
Li1 Li 0.000 0.000 0.250
Li2 Li 0.000 0.333 0.250
Zn1 Zn 0.000 0.500 0.000
Zn2 Zn 0.002 0.167 0.000
Au1 Au 0.000 0.500 0.500
Au2 Au 0.001 0.833 0.500
```

E_tot	-9.914	eV/f.u.

The following is a DFT calculation (PBE) of a relaxed ZrGaCuW crystal.

```
data_ZrGaCuW
_chemical_formula_sum 'Zr4 Ga4 Cu4 W4'
_cell_length_a 6.443
_cell_length_b 6.443
_cell_length_c 6.443
_cell_angle_alpha 90.00
_cell_angle_beta 90.00
_cell_angle_gamma 90.00
_space_group_name_H-M_alt 'F -4 3 m'
_space_group_IT_number 216
_space_group_name_Hall 'F -4 2 3'
loop_
_atom_site_label
_atom_site_type_symbol
_atom_site_fract_x
_atom_site_fract_y
_atom_site_fract_z
Zr1 Zr 0.000 0.000 0.000
Ga1 Ga 0.000 0.000 0.500
Cu1 Cu 0.250 0.250 0.750
W1 W 0.250 0.250 0.250
```

offset from the most stable computed form	0	meV per atom

no.,V (Å³/f.u.)
1,99.6
2,57.1
3,66.9